A plane-wave DFT calculation with GGA+U was carried out for a relaxed structure of NpCrIn2O8.

Cell lengths 4.942, 4.940, 6.455 Å; angles 90.00, 90.00, 92.19 degrees
Fractional coordinates of all 12 atoms:
O (0.179, 0.821, 0.755)
Cr (0.000, 0.000, 0.500)
O (0.699, 0.700, 0.000)
O (0.711, 0.712, 0.500)
O (0.821, 0.179, 0.245)
O (0.289, 0.288, 0.500)
O (0.301, 0.300, 0.000)
Np (0.000, 0.000, 0.000)
O (0.179, 0.821, 0.245)
In (0.500, 0.500, 0.738)
O (0.821, 0.179, 0.755)
In (0.500, 0.500, 0.262)

Output
The value obtained for the total energy is -7.400 eV per atom. Its crystal system is orthorhombic. The size of the total moment comes out at 0.251 μB per atom.